No. 1
{"formula": "CaMg2In4", "functional": "PBE-GGA", "state": "relaxed", "formation_energy_ev_per_atom": -0.12, "e_above_lowest_polymorph_mev_per_atom": 71.6, "dos_ef_per_ev_cell": 2.81, "lattice_angstrom": [[5.874, -3.080, 0.000], [5.874, 3.080, 0.000], [-2.478, 0.000, 5.255]], "species": ["Ca", "Mg", "Mg", "In", "In", "In", "In"], "fractional_positions": [[0.000, 0.000, 0.000], [0.285, 0.285, 0.567], [0.715, 0.715, 0.433], [0.000, 0.500, 0.000], [0.251, 0.749, 0.500], [0.500, 0.000, 0.000], [0.749, 0.251, 0.500]]}



No. 2
{"formula": "BaPaCrS6", "functional": "PBE-GGA", "state": "relaxed", "formation_energy_uncorrected_mev_per_atom": -980, "dos_ef_per_ev_cell": 5.51, "lattice_angstrom": [[6.732, 0.000, 0.000], [-3.366, 5.830, 0.000], [0.000, 0.000, 5.836]], "species": ["Ba", "Pa", "Cr", "S", "S", "S", "S", "S", "S"], "fractional_positions": [[0.000, 0.000, 0.000], [0.667, 0.333, 0.500], [0.333, 0.667, 0.000], [0.022, 0.424, 0.241], [0.022, 0.597, 0.759], [0.403, 0.424, 0.759], [0.403, 0.978, 0.241], [0.576, 0.597, 0.241], [0.576, 0.978, 0.759]]}



No. 3
{"formula": "Pm3Y2Mg2", "functional": "PBE-GGA", "state": "relaxed", "formation_energy_ev_per_atom": 0.04, "dos_ef_per_ev_cell": 7.49, "lattice_angstrom": [[1.897, -15.683, 0.000], [1.897, 15.683, 0.000], [0.000, 0.000, 3.675]], "species": ["Pm", "Pm", "Pm", "Y", "Y", "Mg", "Mg"], "fractional_positions": [[0.000, 0.000, 0.000], [0.419, 0.581, 0.500], [0.581, 0.419, 0.500], [0.296, 0.704, 0.500], [0.704, 0.296, 0.500], [0.144, 0.856, 0.000], [0.856, 0.144, 0.000]]}



No. 4
{"formula": "LiCeHo2Tl4", "functional": "PBE-GGA", "state": "relaxed", "formation_energy_ev_per_atom": -0.28, "dos_ef_per_ev_cell": 9.37, "lattice_angstrom": [[2.624, 1.515, 8.993], [-2.624, 1.515, 8.993], [0.000, -3.030, 8.993]], "species": ["Li", "Ce", "Ho", "Ho", "Tl", "Tl", "Tl", "Tl"], "fractional_positions": [[0.000, 0.000, 0.000], [0.500, 0.500, 0.500], [0.255, 0.255, 0.255], [0.745, 0.745, 0.745], [0.121, 0.121, 0.121], [0.372, 0.372, 0.372], [0.628, 0.628, 0.628], [0.879, 0.879, 0.879]]}